No. 1
# HfAlZn SCAN PBEsol geometry
# - DOS(E_F) (states/eV/atom) = 0.72
# - final energy (eV for the cell shown) = -341.1
# - total magnetization (μB per formula unit) = 0.00
data_HfAlZn
_chemical_formula_sum 'Hf4 Al4 Zn4'
_cell_length_a 5.128
_cell_length_b 5.223
_cell_length_c 7.280
_cell_angle_alpha 90.00
_cell_angle_beta 90.00
_cell_angle_gamma 90.00
_symmetry_space_group_name_H-M 'I m m a'
_symmetry_Int_Tables_number 74
_symmetry_space_group_name_Hall '-I 2b 2'
loop_
_atom_site_label
_atom_site_type_symbol
_atom_site_fract_x
_atom_site_fract_y
_atom_site_fract_z
Hf1 Hf 0.000 0.250 0.126
Al1 Al 0.000 0.000 0.500
Zn1 Zn 0.250 0.250 0.750

***

No. 2
# Hf2Al3Zn SCAN PBEsol geometry
# - DOS(E_F) (states/eV/atom) = 0.37
# - final energy (eV for the cell shown) = -495.1
# - total magnetization (μB per formula unit) = 0.00
data_Hf2Al3Zn
_chemical_formula_sum 'Hf6 Al9 Zn3'
_cell_length_a 5.2381
_cell_length_b 5.2381
_cell_length_c 12.5413
_cell_angle_alpha 90.00
_cell_angle_beta 90.00
_cell_angle_gamma 120.00
_symmetry_space_group_name_H-M 'R -3 m'
_symmetry_Int_Tables_number 166
_symmetry_space_group_name_Hall '-R 3 2"'
loop_
_atom_site_label
_atom_site_type_symbol
_atom_site_fract_x
_atom_site_fract_y
_atom_site_fract_z
Hf1 Hf 0.0000 0.0000 0.1243
Al1 Al 0.0000 0.5000 0.0000
Zn1 Zn 0.0000 0.0000 0.5000

***

no.,E_form (eV/f.u.)
1,-1.34
2,-2.93